Arrangement 1

Compound: Rb3Hg4Bi2
Source: the Alexandria database
Functional: PBE
Structure: relaxed

Cell: 13.586 5.161 10.544 Å, 90.00 101.11 90.00°
Space group C2/m (No. 12)
Symmetry-distinct sites (fractional):
Rb (0.000, 0.000, 0.000)
Rb (0.170, 0.500, 0.657)
Hg (0.051, 0.000, 0.387)
Hg (0.220, 0.500, 0.054)
Bi (0.104, 0.500, 0.273)

Arrangement 2

Compound: Rb3Hg4Bi2
Source: the Alexandria database
Functional: PBE
Structure: relaxed

Cell: 5.387 6.872 10.568 Å, 100.09 90.30 113.02°
Space group P-1 (No. 2)
Symmetry-distinct sites (fractional):
Rb (0.000, 0.000, 0.000)
Rb (0.379, 0.756, 0.619)
Hg (0.089, 0.178, 0.635)
Hg (0.284, 0.566, 0.922)
Bi (0.316, 0.634, 0.234)

Which of them is the least stable? Correct choice: arrangement 2.

Arrangement 1

Compound: Rb2Hg2Bi
Source: the Alexandria database
Functional: PBE
Structure: relaxed

Cell: 8.342 8.342 5.616 Å, 90.00 90.00 90.00°
Space group P4/mbm (No. 127)
Symmetry-distinct sites (fractional):
Rb (0.180, 0.320, 0.000)
Hg (0.131, 0.631, 0.500)
Bi (0.000, 0.000, 0.500)

Arrangement 2

Compound: Rb2Hg2Bi
Source: the Alexandria database
Functional: PBE
Structure: relaxed

Cell: 13.529 5.119 13.948 Å, 90.00 114.44 90.00°
Space group C2/m (No. 12)
Symmetry-distinct sites (fractional):
Rb (0.106, 0.000, 0.396)
Rb (0.199, 0.500, 0.123)
Hg (0.028, 0.000, 0.909)
Hg (0.115, 0.500, 0.610)
Bi (0.057, 0.500, 0.809)

Which of them is the least stable? Correct choice: arrangement 1.

Arrangement 1

Compound: Rb2Hg2Bi
Source: the Alexandria database
Functional: PBE
Structure: relaxed

Cell: 7.115 7.115 8.939 Å, 90.00 90.00 90.00°
Space group I4/mmm (No. 139)
Symmetry-distinct sites (fractional):
Rb (0.000, 0.500, 0.250)
Hg (0.000, 0.000, 0.164)
Bi (0.000, 0.000, 0.500)

Arrangement 2

Compound: Rb2Hg2Bi
Source: the Alexandria database
Functional: PBE
Structure: relaxed

Cell: 10.285 10.285 3.838 Å, 90.00 90.00 90.00°
Space group P4/mbm (No. 127)
Symmetry-distinct sites (fractional):
Rb (0.181, 0.319, 0.000)
Hg (0.114, 0.614, 0.500)
Bi (0.000, 0.000, 0.000)

Which of them is the least stable? Correct choice: arrangement 2.

Arrangement 1

Compound: RbSnHg2Bi
Source: the Alexandria database
Functional: PBE
Structure: relaxed

Cell: 4.953 4.953 13.458 Å, 90.00 90.00 90.00°
Space group I-4m2 (No. 119)
Symmetry-distinct sites (fractional):
Rb (0.000, 0.000, 0.000)
Sn (0.000, 0.500, 0.250)
Hg (0.000, 0.000, 0.394)
Bi (0.000, 0.500, 0.750)

Arrangement 2

Compound: RbSnHg2Bi
Source: the Alexandria database
Functional: PBE
Structure: relaxed

Cell: 5.853 5.853 6.071 Å, 90.00 90.00 90.00°
Space group P4/mmm (No. 123)
Symmetry-distinct sites (fractional):
Rb (0.000, 0.000, 0.000)
Sn (0.500, 0.500, 0.500)
Hg (0.000, 0.500, 0.500)
Bi (0.500, 0.500, 0.000)

Which of them is the least stable? Correct choice: arrangement 2.

Arrangement 1

Compound: Rb2TlHgBi
Source: the Alexandria database
Functional: PBE
Structure: relaxed

Cell: 8.816 5.472 8.928 Å, 90.00 107.01 90.00°
Space group P2_1/m (No. 11)
Symmetry-distinct sites (fractional):
Rb (0.130, 0.250, 0.378)
Rb (0.320, 0.250, 0.945)
Tl (0.429, 0.750, 0.328)
Hg (0.096, 0.750, 0.058)
Bi (0.353, 0.750, 0.660)

Arrangement 2

Compound: Rb2TlHgBi
Source: the Alexandria database
Functional: PBE
Structure: relaxed

Cell: 7.223 7.223 6.130 Å, 90.00 90.00 90.00°
Space group P4/mmm (No. 123)
Symmetry-distinct sites (fractional):
Rb (0.000, 0.500, 0.000)
Tl (0.000, 0.000, 0.500)
Hg (0.500, 0.500, 0.500)
Bi (0.000, 0.000, 0.000)

Which of them is the least stable? Correct choice: arrangement 2.

Arrangement 1

Compound: Re2HgBi
Source: the Alexandria database
Functional: PBE
Structure: relaxed

Cell: 6.663 6.663 6.663 Å, 90.00 90.00 90.00°
Space group Fm-3m (No. 225)
Symmetry-distinct sites (fractional):
Re (0.250, 0.250, 0.250)
Hg (0.000, 0.000, 0.000)
Bi (0.000, 0.000, 0.500)

Arrangement 2

Compound: Re2HgBi
Source: the Alexandria database
Functional: PBE
Structure: relaxed

Cell: 4.179 4.179 19.977 Å, 90.00 90.00 90.00°
Space group I-42d (No. 122)
Symmetry-distinct sites (fractional):
Re (0.160, 0.250, 0.125)
Hg (0.000, 0.000, 0.000)
Bi (0.000, 0.000, 0.500)

Which of them is the least stable? Correct choice: arrangement 1.

Arrangement 1

Compound: ReHgBi3
Source: the Alexandria database
Functional: PBE
Structure: relaxed

Cell: 5.614 5.614 5.614 Å, 90.00 90.00 90.00°
Space group Pm-3m (No. 221)
Symmetry-distinct sites (fractional):
Re (0.000, 0.000, 0.000)
Hg (0.500, 0.500, 0.500)
Bi (0.000, 0.500, 0.500)

Arrangement 2

Compound: ReHgBi3
Source: the Alexandria database
Functional: PBE
Structure: relaxed

Cell: 5.382 5.382 5.382 Å, 90.00 90.00 90.00°
Space group Pm-3m (No. 221)
Symmetry-distinct sites (fractional):
Re (0.000, 0.000, 0.000)
Hg (0.500, 0.500, 0.500)
Bi (0.000, 0.000, 0.500)

Which of them is the least stable? Correct choice: arrangement 1.

Arrangement 1

Compound: HgBiRh
Source: the Alexandria database
Functional: PBE
Structure: relaxed

Cell: 3.260 3.260 12.836 Å, 90.00 90.00 90.00°
Space group I4mm (No. 107)
Symmetry-distinct sites (fractional):
Hg (0.000, 0.000, 0.000)
Bi (0.000, 0.000, 0.271)
Rh (0.000, 0.000, 0.641)

Arrangement 2

Compound: HgBiRh
Source: the Alexandria database
Functional: PBE
Structure: relaxed

Cell: 6.945 6.986 7.032 Å, 65.44 69.47 86.47°
Space group P1 (No. 1)
Symmetry-distinct sites (fractional):
Hg (0.000, 0.000, 0.000)
Hg (0.045, 0.504, 0.424)
Hg (0.145, 0.539, 0.904)
Hg (0.494, 0.302, 0.597)
Bi (0.150, 0.025, 0.522)
Bi (0.489, 0.833, 0.001)
Bi (0.662, 0.355, 0.019)
Bi (0.689, 0.808, 0.505)
Rh (0.314, 0.160, 0.074)
Rh (0.353, 0.717, 0.444)
Rh (0.756, 0.616, 0.194)
Rh (0.880, 0.209, 0.309)

Which of them is the least stable? Correct choice: arrangement 2.

Arrangement 1

Compound: HgBiS3
Source: the Alexandria database
Functional: PBE
Structure: relaxed

Cell: 5.241 5.241 5.241 Å, 90.00 90.00 90.00°
Space group Pm-3m (No. 221)
Symmetry-distinct sites (fractional):
Hg (0.000, 0.000, 0.000)
Bi (0.500, 0.500, 0.500)
S (0.000, 0.500, 0.500)

Arrangement 2

Compound: HgBiS3
Source: the Alexandria database
Functional: PBE
Structure: relaxed

Cell: 6.296 5.353 8.206 Å, 90.00 90.23 90.00°
Space group P2_1/m (No. 11)
Symmetry-distinct sites (fractional):
Hg (0.143, 0.250, 0.371)
Bi (0.242, 0.250, 0.899)
S (0.101, 0.750, 0.395)
S (0.116, 0.750, 0.928)
S (0.448, 0.250, 0.183)

Which of them is the least stable? Correct choice: arrangement 1.

Arrangement 1

Compound: HgBi2S
Source: the Alexandria database
Functional: PBE
Structure: relaxed

Cell: 3.7319 3.7319 27.1114 Å, 90.00 90.00 120.00°
Space group R-3m (No. 166, hexagonal axes)
Symmetry-distinct sites (fractional):
Hg (0.0000, 0.0000, 0.0000)
Bi (0.0000, 0.0000, 0.2403)
S (0.0000, 0.0000, 0.5000)

Arrangement 2

Compound: HgBi2S
Source: the Alexandria database
Functional: PBE
Structure: relaxed

Cell: 7.426 7.426 7.426 Å, 90.00 90.00 90.00°
Space group Fm-3m (No. 225)
Symmetry-distinct sites (fractional):
Hg (0.000, 0.000, 0.000)
Bi (0.250, 0.250, 0.250)
S (0.000, 0.000, 0.500)

Which of them is the least stable? Correct choice: arrangement 2.

Arrangement 1

Compound: Hg3BiS
Source: the Alexandria database
Functional: PBE
Structure: relaxed

Cell: 5.245 5.245 5.245 Å, 90.00 90.00 90.00°
Space group Pm-3m (No. 221)
Symmetry-distinct sites (fractional):
Hg (0.000, 0.000, 0.500)
Bi (0.500, 0.500, 0.500)
S (0.000, 0.000, 0.000)

Arrangement 2

Compound: Hg3BiS
Source: the Alexandria database
Functional: PBE
Structure: relaxed

Cell: 5.772 5.772 5.772 Å, 90.00 90.00 90.00°
Space group Pm-3m (No. 221)
Symmetry-distinct sites (fractional):
Hg (0.000, 0.000, 0.500)
Bi (0.000, 0.000, 0.000)
S (0.500, 0.500, 0.500)

Which of them is the least stable? Correct choice: arrangement 2.

Arrangement 1

Compound: HgBi2S4
Source: the Alexandria database
Functional: PBE
Structure: relaxed

Cell: 7.508 7.554 7.762 Å, 90.00 102.71 90.00°
Space group P2_1/m (No. 11)
Symmetry-distinct sites (fractional):
Hg (0.235, 0.250, 0.253)
Bi (0.296, 0.750, 0.956)
Bi (0.297, 0.750, 0.406)
S (0.035, 0.750, 0.125)
S (0.054, 0.750, 0.654)
S (0.460, 0.503, 0.242)

Arrangement 2

Compound: HgBi2S4
Source: the Alexandria database
Functional: PBE
Structure: relaxed

Cell: 14.612 4.100 14.369 Å, 90.00 119.38 90.00°
Space group C2/m (No. 12)
Symmetry-distinct sites (fractional):
Hg (0.000, 0.000, 0.000)
Hg (0.000, 0.000, 0.500)
Bi (0.150, 0.500, 0.364)
Bi (0.224, 0.000, 0.869)
S (0.000, 0.000, 0.333)
S (0.128, 0.500, 0.926)
S (0.157, 0.000, 0.169)
S (0.194, 0.500, 0.564)

Arrangement 3

Compound: HgBi2S4
Source: the Alexandria database
Functional: PBE
Structure: relaxed

Cell: 20.137 4.147 11.661 Å, 90.00 117.54 90.00°
Space group C2/m (No. 12)
Symmetry-distinct sites (fractional):
Hg (0.131, 0.000, 0.188)
Bi (0.140, 0.500, 0.470)
Bi (0.188, 0.000, 0.794)
S (0.054, 0.000, 0.294)
S (0.091, 0.500, 0.646)
S (0.202, 0.000, 0.072)
S (0.242, 0.000, 0.624)

Which of them is the least stable? Correct choice: arrangement 1.